Entry 1:
Below is PuTc4 after structural relaxation, with properties calculated at the PBE level.

Geometry as POSCAR:
```
PuTc4
1.0
4.6533 0.0000 0.0000
0.0000 4.6533 0.0000
0.0000 0.0000 4.6533
Tc Pu
4 1
Direct
0.5000 0.0000 0.5000
0.0000 0.0000 0.0000
0.0000 0.5000 0.5000
0.5000 0.5000 0.0000
0.5000 0.5000 0.5000
```

Symmetry ... Pm-3m, No. 221
Formation energy ... 1.76 eV per atom
Uncorrected energy ... -9.3953 eV per atom



Entry 2:
Below is Pu2Tc after structural relaxation, with properties calculated at the PBE level.

Geometry as POSCAR:
```
Pu2Tc
1.0
3.2005 -0.0008 0.0003
-0.0008 3.2005 0.0007
-1.5994 -1.5988 4.8323
Tc Pu
1 2
Direct
0.5000 0.5000 0.5000
0.8090 0.8090 0.1181
0.1910 0.1910 0.8819
```

Symmetry ... I4/mmm, No. 139
Formation energy ... 0.18 eV per atom
Uncorrected energy ... -12.8265 eV per atom



Entry 3:
Below is PuTc after structural relaxation, with properties calculated at the PBE level.

Geometry as POSCAR:
```
PuTc
1.0
-1.3852 2.2252 -0.8256
-3.2652 -2.5031 -1.2680
-1.2935 -1.0994 5.5014
Pu Tc
2 2
Direct
0.8230 0.7500 0.4073
0.1770 0.2500 0.5927
0.7508 0.7500 0.9132
0.2492 0.2500 0.0868
```

Symmetry ... P2_1/m, No. 11
Formation energy ... 0.11 eV per atom
Uncorrected energy ... -12.2381 eV per atom



Entry 4:
Below is PuTc2 after structural relaxation, with properties calculated at the PBE level.

Geometry as POSCAR:
```
PuTc2
1.0
3.7040 0.0013 0.0000
0.0013 3.7040 0.0000
-1.8528 -1.8528 3.9044
Pu Tc
1 2
Direct
0.5000 0.5000 0.0000
0.8092 0.8092 0.6182
0.1908 0.1908 0.3818
```

E above lowest polymorph ... 197 meV/atom
Symmetry ... I4/mmm, No. 139
Formation energy ... 0.24 eV per atom
Uncorrected energy ... -11.4488 eV per atom



Entry 5:
Below is PuTc2 after structural relaxation, with properties calculated at the PBE level.

Geometry as POSCAR:
```
PuTc2
1.0
-2.5070 -4.8468 0.6384
2.7187 2.2614 4.2046
-6.9340 3.9008 2.3856
Pu Tc
4 8
Direct
0.6667 0.3333 0.5710
0.3333 0.6667 0.0710
0.6667 0.3333 0.9290
0.3333 0.6667 0.4290
0.8289 0.6578 0.2500
0.1711 0.3422 0.7500
0.1711 0.8289 0.7500
0.8289 0.1711 0.2500
0.0000 0.0000 0.5000
0.0000 0.0000 0.0000
0.3422 0.1711 0.2500
0.6578 0.8289 0.7500
```

E above lowest polymorph ... 0 meV/atom
Symmetry ... P6_3/mmc, No. 194
Formation energy ... 0.04 eV per atom
Uncorrected energy ... -11.6460 eV per atom



Entry 6:
Below is Pu4Tc after structural relaxation, with properties calculated at the PBE level.

Geometry as POSCAR:
```
Pu4Tc
1.0
5.2522 0.0000 0.0000
0.0000 5.2522 0.0000
0.0000 0.0000 5.2522
Pu Tc
4 1
Direct
0.0000 0.5000 0.5000
0.5000 0.0000 0.5000
0.0000 0.0000 0.0000
0.5000 0.5000 0.0000
0.5000 0.5000 0.5000
```

Symmetry ... Pm-3m, No. 221
Formation energy ... 0.49 eV per atom
Uncorrected energy ... -13.0517 eV per atom